# ZnNiGeO4 (PBE+U, optimized geometry)
# VASP energy = -5.461 eV per atom
# V = 313.38 Å³/cell
data_ZnNiGeO4
_space_group_name_H-M_alt 'C m c m'
_space_group_IT_number 63
_space_group_name_Hall '-C 2c 2'
_cell_length_a 5.6648
_cell_length_b 8.8889
_cell_length_c 6.2236
_cell_angle_alpha 90.00
_cell_angle_beta 90.00
_cell_angle_gamma 90.00
loop_
_atom_site_label
_atom_site_type_symbol
_atom_site_fract_x
_atom_site_fract_y
_atom_site_fract_z
Zn1 Zn 0.0000 0.1625 0.2500
Ni1 Ni 0.0000 0.5000 0.0000
Ge1 Ge 0.0000 0.1524 0.7500
O1 O 0.0000 0.2685 0.5214
O2 O 0.2397 0.0161 0.7500